i) First-principles (PBE) data for a relaxed structure of LaWSe3, as listed in the Alexandria database.

## Properties
Mass density, g/cm³: 7.57
Symmetry: Pm-3m, No. 221

abc: 4.969 4.969 4.969
angles: 90.00 90.00 90.00
Element x y z (fractional)
1 Se 0.500 0.000 0.000
2 Se 0.000 0.500 0.000
3 W 0.000 0.000 0.000
4 La 0.500 0.500 0.500
5 Se 0.000 0.000 0.500

---

ii) First-principles (PBE) data for a relaxed structure of LaWSe3, as listed in the Alexandria database.

## Properties
Mass density, g/cm³: 5.05
Symmetry: Pm-3m, No. 221

abc: 5.689 5.689 5.689
angles: 90.00 90.00 90.00
Site moments in Bohr magnetons follow the coordinates.
Element x y z (fractional)
1 Se 0.000 0.500 0.000  0.43
2 W 0.500 0.500 0.500  -3.41
3 Se 0.500 0.000 0.000  0.28
4 Se 0.000 0.000 0.500  0.35
5 La 0.000 0.000 0.000  -0.01

---

Stability, highest: i)

---

i) First-principles (PBE) data for a relaxed structure of LaW2Se, as listed in the Alexandria database.

## Properties
Mass density, g/cm³: 11.12
Symmetry: R3m, No. 160

abc: 8.561 8.561 8.561
angles: 23.47 23.47 23.47
Element x y z (fractional)
1 La 0.500 0.500 0.500
2 W 0.265 0.265 0.265
3 W 0.998 0.998 0.998
4 Se 0.737 0.737 0.737

---

ii) First-principles (PBE) data for a relaxed structure of LaW2Se, as listed in the Alexandria database.

## Properties
Mass density, g/cm³: 12.24
Symmetry: F-43m, No. 216

abc: 4.825 4.825 4.825
angles: 60.00 60.00 60.00
Element x y z (fractional)
1 W 0.750 0.750 0.750
2 Se 0.250 0.250 0.250
3 La 0.500 0.500 0.500
4 W 0.000 0.000 0.000

---

Stability, highest: i)